(1)
# Cs12As5Au3 | the Alexandria database | PBE | optimized geometry
data_Cs12As5Au3
_symmetry_space_group_name_H-M 'I a -3 d'
_symmetry_Int_Tables_number 230
_symmetry_space_group_name_Hall '-I 4bd 2c 3'
_cell_length_a 21.602
_cell_length_b 21.602
_cell_length_c 21.602
_cell_angle_alpha 90.00
_cell_angle_beta 90.00
_cell_angle_gamma 90.00
loop_
_atom_site_label
_atom_site_fract_x
_atom_site_fract_y
_atom_site_fract_z
Cs1 0.024 0.066 0.649
As1 0.000 0.000 0.000
As2 0.000 0.250 0.375
Au1 0.000 0.250 0.125
# - energy relative to the elements (meV per atom) = -68



(2)
# Cs2As2Au | the Alexandria database | PBE | optimized geometry
data_Cs2As2Au
_symmetry_space_group_name_H-M 'P 4/m b m'
_symmetry_Int_Tables_number 127
_symmetry_space_group_name_Hall '-P 4 2ab'
_cell_length_a 10.636
_cell_length_b 10.636
_cell_length_c 3.329
_cell_angle_alpha 90.00
_cell_angle_beta 90.00
_cell_angle_gamma 90.00
loop_
_atom_site_label
_atom_site_fract_x
_atom_site_fract_y
_atom_site_fract_z
Cs1 0.212 0.288 0.000
As1 0.078 0.578 0.500
Au1 0.000 0.000 0.000
# - energy relative to the elements (meV per atom) = -8



(3)
# Cs2As2Au | the Alexandria database | PBE | optimized geometry
data_Cs2As2Au
_symmetry_space_group_name_H-M 'P 4/m b m'
_symmetry_Int_Tables_number 127
_symmetry_space_group_name_Hall '-P 4 2ab'
_cell_length_a 8.427
_cell_length_b 8.427
_cell_length_c 5.417
_cell_angle_alpha 90.00
_cell_angle_beta 90.00
_cell_angle_gamma 90.00
loop_
_atom_site_label
_atom_site_fract_x
_atom_site_fract_y
_atom_site_fract_z
Cs1 0.200 0.300 0.000
As1 0.095 0.595 0.500
Au1 0.000 0.000 0.500
# - energy relative to the elements (meV per atom) = -139



(4)
# Cs2AsAu2 | the Alexandria database | PBE | optimized geometry
data_Cs2AsAu2
_symmetry_space_group_name_H-M 'I m m m'
_symmetry_Int_Tables_number 71
_symmetry_space_group_name_Hall '-I 2 2'
_cell_length_a 4.779
_cell_length_b 5.712
_cell_length_c 11.977
_cell_angle_alpha 90.00
_cell_angle_beta 90.00
_cell_angle_gamma 90.00
loop_
_atom_site_label
_atom_site_fract_x
_atom_site_fract_y
_atom_site_fract_z
Cs1 0.000 0.000 0.198
As1 0.000 0.500 0.000
Au1 0.000 0.253 0.500
# - energy relative to the elements (meV per atom) = -266



It is found that the raw total energy values, taken in the order of the records, are -357.40, -28.65, -29.95, -28.48 eV per cell.